Density functional theory data (GGA-PBE) for ZnPdRh after structural relaxation.

Results
The formation energy comes out at -0.2478 eV per atom. The crystal system is monoclinic. The energy above the lowest structure with this stoichiometry comes out at 15 meV per atom.

Cell and atoms, written as CIF:
```
data_ZnPdRh
_chemical_formula_sum 'Zn2 Pd2 Rh2'
_space_group_name_H-M_alt 'P 1'
_space_group_IT_number 1
_cell_length_a 4.753
_cell_length_b 4.753
_cell_length_c 4.669
_cell_angle_alpha 99.18
_cell_angle_beta 99.18
_cell_angle_gamma 119.89
loop_
_space_group_symop_operation_xyz
'x,y,z'
loop_
_atom_site_label
_atom_site_type_symbol
_atom_site_fract_x
_atom_site_fract_y
_atom_site_fract_z
Zn1 Zn 0.000 0.000 0.000
Zn2 Zn 0.669 0.331 0.000
Pd1 Pd 0.164 0.836 0.500
Pd2 Pd 0.337 0.663 0.000
Rh1 Rh 0.504 0.496 0.500
Rh2 Rh 0.833 0.167 0.500
```